# Na3ZrSc3Te8, optimized geometry, DFT PBE
# energy relative to the elements, uncorrected: -1.117 eV per atom
# crystal system: monoclinic
data_Na3ZrSc3Te8
_cell_length_a 8.363
_cell_length_b 8.363
_cell_length_c 9.046
_cell_angle_alpha 117.55
_cell_angle_beta 117.55
_cell_angle_gamma 60.04
_symmetry_space_group_name_H-M 'P 1'
_symmetry_Int_Tables_number 1
loop_
_symmetry_equiv_pos_as_xyz
'x,y,z'
loop_
_atom_site_label
_atom_site_fract_x
_atom_site_fract_y
_atom_site_fract_z
_atom_site_occupancy
Na1 0.000 0.000 0.000 1
Na2 0.000 0.500 0.000 1
Na3 0.500 0.000 0.000 1
Zr1 0.000 0.000 0.500 1
Sc1 0.000 0.500 0.500 1
Sc2 0.500 0.000 0.500 1
Sc3 0.500 0.500 0.500 1
Te1 0.241 0.241 0.720 1
Te2 0.241 0.739 0.720 1
Te3 0.260 0.260 0.280 1
Te4 0.261 0.759 0.280 1
Te5 0.739 0.241 0.720 1
Te6 0.740 0.740 0.720 1
Te7 0.759 0.261 0.280 1
Te8 0.759 0.759 0.280 1